(1)
The following is a DFT calculation (GGA-PBE) of an optimized crystal structure of KPmAgO2.

Properties
**Uncorrected energy**: -5.2984 eV/atom
**Calculated density**: 4.20 g cm⁻³

The structure in CIF format:
```
data_KPmAgO2
_chemical_formula_sum 'K2 Pm2 Ag2 O4'
_symmetry_space_group_name_H-M 'P 1 2/c 1'
_symmetry_Int_Tables_number 13
_cell_length_a 6.7861
_cell_length_b 5.5782
_cell_length_c 6.7772
_cell_angle_alpha 90.00
_cell_angle_beta 93.15
_cell_angle_gamma 90.00
loop_
_symmetry_equiv_pos_as_xyz
'x,y,z'
'-x,-y,-z'
'-x,y,-z+1/2'
'x,-y,z+1/2'
loop_
_atom_site_label
_atom_site_type_symbol
_atom_site_fract_x
_atom_site_fract_y
_atom_site_fract_z
K1 K 0.0000 0.1852 0.2500
Pm1 Pm 0.5000 0.0166 0.7500
Ag1 Ag 0.5000 0.5000 0.0000
O1 O 0.2982 0.1220 0.9964
```

=====

(2)
The following is a DFT calculation (GGA-PBE) of an optimized crystal structure of Ac3Nd3InHg2.

Properties
**Uncorrected energy**: -3.5513 eV/atom
**Calculated density**: 8.81 g cm⁻³

The structure in CIF format:
```
data_Ac3Nd3InHg2
_chemical_formula_sum 'Ac3 Nd3 In1 Hg2'
_symmetry_space_group_name_H-M 'P -6 2 m'
_symmetry_Int_Tables_number 189
_symmetry_space_group_name_Hall 'P -6 -2'
_cell_length_a 9.3708
_cell_length_b 9.3708
_cell_length_c 4.0398
_cell_angle_alpha 90.00
_cell_angle_beta 90.00
_cell_angle_gamma 120.00
loop_
_atom_site_label
_atom_site_type_symbol
_atom_site_fract_x
_atom_site_fract_y
_atom_site_fract_z
Ac1 Ac 0.0000 0.7115 0.0000
Nd1 Nd 0.0000 0.3852 0.5000
In1 In 0.0000 0.0000 0.5000
Hg1 Hg 0.3333 0.6667 0.0000
```

=====

(3)
The following is a DFT calculation (GGA-PBE) of an optimized crystal structure of ZnCd2Si.

Properties
**Uncorrected energy**: -1.8099 eV/atom
**Calculated density**: 6.41 g cm⁻³

The structure in CIF format:
```
data_ZnCd2Si
_chemical_formula_sum 'Zn4 Cd8 Si4'
_symmetry_space_group_name_H-M 'I -4 2 d'
_symmetry_Int_Tables_number 122
_symmetry_space_group_name_Hall 'I -4 2bw'
_cell_length_a 4.1928
_cell_length_b 4.1928
_cell_length_c 18.7532
_cell_angle_alpha 90.00
_cell_angle_beta 90.00
_cell_angle_gamma 90.00
loop_
_atom_site_label
_atom_site_type_symbol
_atom_site_fract_x
_atom_site_fract_y
_atom_site_fract_z
Zn1 Zn 0.0000 0.0000 0.0000
Cd1 Cd 0.2473 0.2500 0.1250
Si1 Si 0.0000 0.0000 0.5000
```

=====

(4)
The following is a DFT calculation (GGA-PBE) of an optimized crystal structure of Ca3Sb5Pd6.

Properties
**Uncorrected energy**: -4.8965 eV/atom
**Calculated density**: 7.44 g cm⁻³

The structure in CIF format:
```
data_Ca3Sb5Pd6
_chemical_formula_sum 'Ca6 Sb10 Pd12'
_symmetry_space_group_name_H-M 'P m m n'
_symmetry_Int_Tables_number 59
_cell_length_a 4.4648
_cell_length_b 13.8331
_cell_length_c 9.8871
_cell_angle_alpha 90.00
_cell_angle_beta 90.00
_cell_angle_gamma 90.00
loop_
_symmetry_equiv_pos_as_xyz
'x,y,z'
'-x,-y,-z'
'-x+1/2,-y+1/2,z'
'x+1/2,y+1/2,-z'
'x+1/2,-y,-z'
'-x+1/2,y,z'
'-x,y+1/2,-z'
'x,-y+1/2,z'
loop_
_atom_site_label
_atom_site_type_symbol
_atom_site_fract_x
_atom_site_fract_y
_atom_site_fract_z
Ca1 Ca 0.2500 0.0761 0.2426
Ca2 Ca 0.2500 0.7500 0.2370
Sb1 Sb 0.2500 0.0775 0.8618
Sb2 Sb 0.2500 0.6316 0.5273
Sb3 Sb 0.2500 0.7500 0.8260
Pd1 Pd 0.2500 0.0558 0.5900
Pd2 Pd 0.2500 0.2500 0.0084
Pd3 Pd 0.2500 0.2500 0.4997
Pd4 Pd 0.2500 0.5984 0.9960
```

=====

(5)
The following is a DFT calculation (GGA-PBE) of an optimized crystal structure of V3SiMo.

Properties
**Uncorrected energy**: -7.3893 eV/atom
**Calculated density**: 4.99 g cm⁻³

The structure in CIF format:
```
data_V3SiMo
_chemical_formula_sum 'V3 Si1 Mo1'
_symmetry_space_group_name_H-M 'P m -3 m'
_symmetry_Int_Tables_number 221
_symmetry_space_group_name_Hall '-P 4 2 3'
_cell_length_a 4.5161
_cell_length_b 4.5161
_cell_length_c 4.5161
_cell_angle_alpha 90.00
_cell_angle_beta 90.00
_cell_angle_gamma 90.00
loop_
_atom_site_label
_atom_site_type_symbol
_atom_site_fract_x
_atom_site_fract_y
_atom_site_fract_z
V1 V 0.0000 0.0000 0.5000
Si1 Si 0.5000 0.5000 0.5000
Mo1 Mo 0.0000 0.0000 0.0000
```

=====

(6)
The following is a DFT calculation (GGA-PBE) of an optimized crystal structure of Tb2CoGe4Ir3.

Properties
**Uncorrected energy**: -6.8382 eV/atom
**Calculated density**: 11.62 g cm⁻³

The structure in CIF format:
```
data_Tb2CoGe4Ir3
_chemical_formula_sum 'Tb2 Co1 Ge4 Ir3'
_symmetry_space_group_name_H-M 'P -4 m 2'
_symmetry_Int_Tables_number 115
_cell_length_a 4.1796
_cell_length_b 4.1796
_cell_length_c 10.1753
_cell_angle_alpha 90.00
_cell_angle_beta 90.00
_cell_angle_gamma 90.00
loop_
_symmetry_equiv_pos_as_xyz
'x,y,z'
'y,-x,-z'
'-x,-y,z'
'-y,x,-z'
'-x,y,z'
'-y,-x,-z'
'x,-y,z'
'y,x,-z'
loop_
_atom_site_label
_atom_site_type_symbol
_atom_site_fract_x
_atom_site_fract_y
_atom_site_fract_z
Tb1 Tb 0.0000 0.5000 0.2495
Co1 Co 0.5000 0.5000 0.0000
Ge1 Ge 0.0000 0.0000 0.5000
Ge2 Ge 0.0000 0.5000 0.8725
Ge3 Ge 0.5000 0.5000 0.5000
Ir1 Ir 0.0000 0.0000 0.0000
Ir2 Ir 0.0000 0.5000 0.6326
```

=====

(7)
The following is a DFT calculation (GGA-PBE) of an optimized crystal structure of Ba2ScCo.

Properties
**Uncorrected energy**: -3.9542 eV/atom
**Calculated density**: 3.74 g cm⁻³

The structure in CIF format:
```
data_Ba2ScCo
_chemical_formula_sum 'Ba8 Sc4 Co4'
_symmetry_space_group_name_H-M 'I -4 2 d'
_symmetry_Int_Tables_number 122
_symmetry_space_group_name_Hall 'I -4 2bw'
_cell_length_a 11.9171
_cell_length_b 11.9171
_cell_length_c 4.7328
_cell_angle_alpha 90.00
_cell_angle_beta 90.00
_cell_angle_gamma 90.00
loop_
_atom_site_label
_atom_site_type_symbol
_atom_site_fract_x
_atom_site_fract_y
_atom_site_fract_z
Ba1 Ba 0.0800 0.2500 0.1250
Sc1 Sc 0.0000 0.0000 0.5000
Co1 Co 0.0000 0.0000 0.0000
```

=====

(8)
The following is a DFT calculation (GGA-PBE) of an optimized crystal structure of Rb2SrCdCl6.

Properties
**Uncorrected energy**: -3.4243 eV/atom
**Calculated density**: 3.06 g cm⁻³

The structure in CIF format:
```
data_Rb2SrCdCl6
_chemical_formula_sum 'Rb4 Sr2 Cd2 Cl12'
_symmetry_space_group_name_H-M 'P 1 21/c 1'
_symmetry_Int_Tables_number 14
_cell_length_a 7.5522
_cell_length_b 7.7645
_cell_length_c 13.1390
_cell_angle_alpha 90.00
_cell_angle_beta 124.59
_cell_angle_gamma 90.00
loop_
_symmetry_equiv_pos_as_xyz
'x,y,z'
'-x,-y,-z'
'-x,y+1/2,-z+1/2'
'x,-y+1/2,z+1/2'
loop_
_atom_site_label
_atom_site_type_symbol
_atom_site_fract_x
_atom_site_fract_y
_atom_site_fract_z
Rb1 Rb 0.2322 0.0552 0.2486
Sr1 Sr 0.5000 0.0000 0.0000
Cd1 Cd 0.0000 0.0000 0.5000
Cl1 Cl 0.1524 0.2170 0.9573
Cl2 Cl 0.2436 0.6976 0.9592
Cl3 Cl 0.3197 0.0187 0.7393
```

=====

(9)
The following is a DFT calculation (GGA-PBE) of an optimized crystal structure of ZrTiSeBr2.

Properties
**Uncorrected energy**: -4.6718 eV/atom
**Calculated density**: 4.31 g cm⁻³

The structure in CIF format:
```
data_ZrTiSeBr2
_chemical_formula_sum 'Zr1 Ti1 Se1 Br2'
_symmetry_space_group_name_H-M 'P 4/m m m'
_symmetry_Int_Tables_number 123
_symmetry_space_group_name_Hall '-P 4 2'
_cell_length_a 5.2590
_cell_length_b 5.2590
_cell_length_c 5.2664
_cell_angle_alpha 90.00
_cell_angle_beta 90.00
_cell_angle_gamma 90.00
loop_
_atom_site_label
_atom_site_type_symbol
_atom_site_fract_x
_atom_site_fract_y
_atom_site_fract_z
Zr1 Zr 0.0000 0.0000 0.0000
Ti1 Ti 0.5000 0.5000 0.5000
Se1 Se 0.0000 0.0000 0.5000
Br1 Br 0.0000 0.5000 0.0000
```

=====

(10)
The following is a DFT calculation (GGA-PBE) of an optimized crystal structure of Gd2TlOs.

Properties
**Uncorrected energy**: -10.5277 eV/atom
**Calculated density**: 12.45 g cm⁻³

The structure in CIF format:
```
data_Gd2TlOs
_chemical_formula_sum 'Gd2 Tl1 Os1'
_symmetry_space_group_name_H-M 'P 4/m m m'
_symmetry_Int_Tables_number 123
_symmetry_space_group_name_Hall '-P 4 2'
_cell_length_a 5.0766
_cell_length_b 5.0766
_cell_length_c 3.6694
_cell_angle_alpha 90.00
_cell_angle_beta 90.00
_cell_angle_gamma 90.00
loop_
_atom_site_label
_atom_site_type_symbol
_atom_site_fract_x
_atom_site_fract_y
_atom_site_fract_z
Gd1 Gd 0.0000 0.5000 0.0000
Tl1 Tl 0.0000 0.0000 0.5000
Os1 Os 0.5000 0.5000 0.5000
```

=====

(11)
The following is a DFT calculation (GGA-PBE) of an optimized crystal structure of In2WSe.

Properties
**Uncorrected energy**: -5.1357 eV/atom
**Calculated density**: 8.87 g cm⁻³

The structure in CIF format:
```
data_In2WSe
_chemical_formula_sum 'In4 W2 Se2'
_symmetry_space_group_name_H-M 'C m m 2'
_symmetry_Int_Tables_number 35
_cell_length_a 3.3262
_cell_length_b 5.2587
_cell_length_c 10.5425
_cell_angle_alpha 90.00
_cell_angle_beta 90.00
_cell_angle_gamma 90.00
loop_
_symmetry_equiv_pos_as_xyz
'x,y,z'
'-x,-y,z'
'-x,y,z'
'x,-y,z'
'x+1/2,y+1/2,z'
'-x+1/2,-y+1/2,z'
'-x+1/2,y+1/2,z'
'x+1/2,-y+1/2,z'
loop_
_atom_site_label
_atom_site_type_symbol
_atom_site_fract_x
_atom_site_fract_y
_atom_site_fract_z
In1 In 0.0000 0.0000 0.0000
In2 In 0.0000 0.5000 0.2654
W1 W 0.0000 0.0000 0.4932
Se1 Se 0.0000 0.5000 0.6674
```